#A
A plane-wave DFT calculation with PBE-GGA was carried out for a relaxed structure of Sr3SnPd3.

Summary:
* crystal system: orthorhombic

Structure (CIF):
```
data_Sr3SnPd3
_chemical_formula_sum 'Sr12 Sn4 Pd12'
_symmetry_space_group_name_H-M 'C m c m'
_symmetry_Int_Tables_number 63
_symmetry_space_group_name_Hall '-C 2c 2'
_cell_length_a 4.542
_cell_length_b 11.349
_cell_length_c 14.596
_cell_angle_alpha 90.00
_cell_angle_beta 90.00
_cell_angle_gamma 90.00
loop_
_atom_site_label
_atom_site_type_symbol
_atom_site_fract_x
_atom_site_fract_y
_atom_site_fract_z
_atom_site_occupancy
Sr1 Sr 0.000 0.005 0.250 1
Sr2 Sr 0.000 0.286 0.104 1
Sn1 Sn 0.000 0.000 0.000 1
Pd1 Pd 0.000 0.293 0.750 1
Pd2 Pd 0.000 0.426 0.590 1
```

#B
A plane-wave DFT calculation with PBE-GGA was carried out for a relaxed structure of Sr3SnPd3.

Summary:
* crystal system: hexagonal

Structure (CIF):
```
data_Sr3SnPd3
_chemical_formula_sum 'Sr6 Sn2 Pd6'
_symmetry_space_group_name_H-M 'P 63/m'
_symmetry_Int_Tables_number 176
_symmetry_space_group_name_Hall '-P 6c'
_cell_length_a 9.2168
_cell_length_b 9.2168
_cell_length_c 6.1562
_cell_angle_alpha 90.00
_cell_angle_beta 90.00
_cell_angle_gamma 120.00
loop_
_atom_site_label
_atom_site_type_symbol
_atom_site_fract_x
_atom_site_fract_y
_atom_site_fract_z
_atom_site_occupancy
Sr1 Sr 0.0599 0.6954 0.2500 1
Sn1 Sn 0.3333 0.6667 0.7500 1
Pd1 Pd 0.0615 0.6896 0.7500 1
```

Ranking the structures above by stability puts #A first and #B last.